Entry 1:
TaZnAs2: PBEsol geometry, meta-GGA SCAN.

Calculated formation energy, eV per atom: 0.04

Unit cell a=3.5219 b=4.6784 c=4.8658 alpha=118.73 beta=111.22 gamma=90.00
With the nearest neighbours (Å) after each atom.
Sites, in units of the cell vectors:
As1 0.2692 0.2692 0.5384  2 Zn 2.51, 2 Ta 2.73
As2 0.7308 0.7308 0.4616  2 Zn 2.51, 2 Ta 2.73
Zn1 0.0000 0.5000 0.0000  4 As 2.51
Ta1 0.5000 0.0000 0.0000  8 As 2.73-2.95, 4 Zn 2.93

Entry 2:
EuTe: PBEsol geometry, meta-GGA SCAN.

Formation energy from raw total energies, eV/atom: -1.871

Unit cell a=4.5204 b=4.5204 c=4.5204 alpha=60.00 beta=60.00 gamma=60.00
With the nearest neighbours (Å) after each atom.
Sites, in units of the cell vectors:
Te1 0.5000 0.5000 0.5000  6 Eu 3.20
Eu1 0.0000 0.0000 0.0000  6 Te 3.20

Entry 3:
ScTa2Cu: PBEsol geometry, meta-GGA SCAN.

Calculated formation energy, eV per atom: 0.09

Unit cell a=2.9569 b=3.5939 c=6.4373 alpha=90.00 beta=90.00 gamma=90.00
With the nearest neighbours (Å) after each atom.
Sites, in units of the cell vectors:
Ta1 0.0000 0.0000 0.0172  6 Ta 2.81-2.96, 4 Sc 2.96, 1 Cu 3.02
Ta2 0.5000 0.5000 0.2617  4 Cu 2.74, 6 Ta 2.81-2.96, 1 Sc 3.04
Cu1 0.0000 0.0000 0.4870  5 Ta 2.74-3.02, 4 Sc 2.82, 2 Cu 2.96
Sc1 0.5000 0.5000 0.7342  4 Cu 2.82, 5 Ta 2.96-3.04, 2 Sc 2.96

Entry 4:
IrOs2Pb: PBEsol geometry, meta-GGA SCAN.

Calculated formation energy, eV per atom: 0.75

Unit cell a=2.8532 b=2.8532 c=9.4089 alpha=81.28 beta=81.28 gamma=60.00
With the nearest neighbours (Å) after each atom.
Sites, in units of the cell vectors:
Ir1 0.7426 0.7426 0.7721  3 Os 2.70, 6 Ir 2.85, 3 Pb 3.00
Pb1 0.4996 0.4996 0.5012  6 Pb 2.85, 3 Ir 3.00, 3 Os 3.06
Os1 0.2589 0.2589 0.2234  9 Os 2.62-2.85
Os2 0.9989 0.9989 0.0033  9 Os 2.62-2.85, 3 Ir 2.70

Number 1: density of states at the Fermi level 0.35 states/eV/atom. Number 2: density of states at the Fermi level 4.60 states/eV/atom. Number 3: density of states at the Fermi level 0.90 states/eV/atom. Number 4: density of states at the Fermi level 0.82 states/eV/atom.